{
  "formula": "CuGeTe3",
  "functional": "PBE",
  "state": "relaxed",
  "lattice_angstrom": [[-0.079, 1.985, -3.429], [-1.278, -6.147, -3.529], [-11.465, 3.201, 2.117]],
  "species": ["Te", "Te", "Te", "Ge", "Cu", "Cu", "Ge", "Te", "Te", "Te"],
  "fractional_positions": [[0.250, 0.187, 0.269], [0.250, 0.313, 0.925], [0.750, 0.376, 0.606], [0.250, 0.807, 0.212], [0.250, 0.610, 0.649], [0.750, 0.390, 0.351], [0.750, 0.193, 0.788], [0.250, 0.624, 0.394], [0.750, 0.687, 0.075], [0.750, 0.813, 0.731]],
  "spacegroup": "P2_1/m",
  "total_magnetization_mub_per_fu": 0.00,
  "formation_energy_uncorrected_mev_per_atom": 13,
  "mass_density_g_cm3": 5.05,
  "polymorph_energy_mev_per_atom": 0.0,
  "total_energy_ev_per_atom": -3.61,
  "crystal_system": "monoclinic"
}